Run a
The following is a DFT calculation (GGA-PBEsol) of a relaxed Mn2OF3 crystal.

```
data_Mn2OF3
_chemical_formula_sum 'Mn16 O8 F24'
_symmetry_space_group_name_H-M 'C 1 2/m 1'
_symmetry_Int_Tables_number 12
_symmetry_space_group_name_Hall '-C 2y'
_cell_length_a 9.1834
_cell_length_b 6.6304
_cell_length_c 9.2917
_cell_angle_alpha 90.00
_cell_angle_beta 93.94
_cell_angle_gamma 90.00
loop_
_atom_site_label
_atom_site_type_symbol
_atom_site_fract_x
_atom_site_fract_y
_atom_site_fract_z
_atom_site_occupancy
Mn1 Mn 0.0000 0.0000 0.0000 1
Mn2 Mn 0.0000 0.5000 0.5000 1
Mn3 Mn 0.1120 0.0000 0.6073 1
Mn4 Mn 0.1474 0.5000 0.1158 1
Mn5 Mn 0.2414 0.5000 0.7675 1
O1 O 0.0000 0.1937 0.5000 1
O2 O 0.2074 0.0000 0.0255 1
F1 F 0.0000 0.3071 0.0000 1
F2 F 0.0107 0.5000 0.7336 1
F3 F 0.0261 0.0000 0.2209 1
F4 F 0.2200 0.5000 0.5432 1
F5 F 0.2322 0.1902 0.7327 1
```

---

Run b
The following is a DFT calculation (GGA-PBEsol) of a relaxed Mn2OF3 crystal.

```
data_Mn2OF3
_chemical_formula_sum 'Mn4 O2 F6'
_symmetry_space_group_name_H-M 'P m c 21'
_symmetry_Int_Tables_number 26
_symmetry_space_group_name_Hall 'P 2c -2'
_cell_length_a 3.1145
_cell_length_b 4.9448
_cell_length_c 10.0619
_cell_angle_alpha 90.00
_cell_angle_beta 90.00
_cell_angle_gamma 90.00
loop_
_atom_site_label
_atom_site_type_symbol
_atom_site_fract_x
_atom_site_fract_y
_atom_site_fract_z
_atom_site_occupancy
Mn1 Mn 0.0000 0.1878 0.0000 1
Mn2 Mn 0.5000 0.2467 0.2890 1
O1 O 0.0000 0.0842 0.3683 1
F1 F 0.0000 0.4176 0.1725 1
F2 F 0.5000 0.0175 0.1066 1
F3 F 0.5000 0.4086 0.9144 1
```

---

Run c
The following is a DFT calculation (GGA-PBEsol) of a relaxed Mn2OF3 crystal.

```
data_Mn2OF3
_chemical_formula_sum 'Mn8 O4 F12'
_symmetry_space_group_name_H-M 'P n m a'
_symmetry_Int_Tables_number 62
_symmetry_space_group_name_Hall '-P 2ac 2n'
_cell_length_a 10.3301
_cell_length_b 5.9610
_cell_length_c 4.6458
_cell_angle_alpha 90.00
_cell_angle_beta 90.00
_cell_angle_gamma 90.00
loop_
_atom_site_label
_atom_site_type_symbol
_atom_site_fract_x
_atom_site_fract_y
_atom_site_fract_z
_atom_site_occupancy
Mn1 Mn 0.0000 0.0000 0.0000 1
Mn2 Mn 0.2189 0.2500 0.4493 1
O1 O 0.0718 0.2500 0.1920 1
F1 F 0.1099 0.7500 0.2020 1
F2 F 0.1600 0.5012 0.7399 1
```

---

Going by the computed energies, the most stable comes first: run a, run c, run b.

---

Run a
The following is a DFT calculation (GGA-PBEsol) of a relaxed Mn2OF3 crystal.

```
data_Mn2OF3
_chemical_formula_sum 'Mn8 O4 F12'
_symmetry_space_group_name_H-M 'I m m a'
_symmetry_Int_Tables_number 74
_symmetry_space_group_name_Hall '-I 2b 2'
_cell_length_a 6.2590
_cell_length_b 6.8507
_cell_length_c 6.5392
_cell_angle_alpha 90.00
_cell_angle_beta 90.00
_cell_angle_gamma 90.00
loop_
_atom_site_label
_atom_site_type_symbol
_atom_site_fract_x
_atom_site_fract_y
_atom_site_fract_z
_atom_site_occupancy
Mn1 Mn 0.0000 0.2500 0.2116 1
Mn2 Mn 0.2500 0.2500 0.7500 1
O1 O 0.0000 0.2500 0.9188 1
F1 F 0.0000 0.2500 0.5250 1
F2 F 0.2500 0.0483 0.2500 1
```

---

Run b
The following is a DFT calculation (GGA-PBEsol) of a relaxed Mn2OF3 crystal.

```
data_Mn2OF3
_chemical_formula_sum 'Mn4 O2 F6'
_symmetry_space_group_name_H-M 'P -3 m 1'
_symmetry_Int_Tables_number 164
_symmetry_space_group_name_Hall '-P 3 2"'
_cell_length_a 6.0543
_cell_length_b 6.0543
_cell_length_c 4.7485
_cell_angle_alpha 90.00
_cell_angle_beta 90.00
_cell_angle_gamma 120.00
loop_
_atom_site_label
_atom_site_type_symbol
_atom_site_fract_x
_atom_site_fract_y
_atom_site_fract_z
_atom_site_occupancy
Mn1 Mn 0.0000 0.0000 0.0000 1
Mn2 Mn 0.0000 0.5000 0.5000 1
O1 O 0.3333 0.6667 0.3435 1
F1 F 0.1617 0.3235 0.7447 1
```

---

Going by the computed energies, the most stable comes first: run a, run b.

---

Run a
The following is a DFT calculation (GGA-PBEsol) of a relaxed Mn4O7F crystal.

```
data_Mn4O7F
_chemical_formula_sum 'Mn8 O14 F2'
_symmetry_space_group_name_H-M 'P 1 21 1'
_symmetry_Int_Tables_number 4
_symmetry_space_group_name_Hall 'P 2yb'
_cell_length_a 5.3626
_cell_length_b 4.8329
_cell_length_c 8.6983
_cell_angle_alpha 90.00
_cell_angle_beta 91.04
_cell_angle_gamma 90.00
loop_
_atom_site_label
_atom_site_type_symbol
_atom_site_fract_x
_atom_site_fract_y
_atom_site_fract_z
_atom_site_occupancy
Mn1 Mn 0.0843 0.0000 0.3801 1
Mn2 Mn 0.1057 0.0058 0.8733 1
Mn3 Mn 0.3820 0.4985 0.8851 1
Mn4 Mn 0.3998 0.5262 0.3767 1
O1 O 0.1323 0.6813 0.2578 1
O2 O 0.1348 0.3318 0.9952 1
O3 O 0.1383 0.3371 0.4865 1
O4 O 0.1377 0.6756 0.7596 1
O5 O 0.3622 0.1792 0.7619 1
O6 O 0.3641 0.8321 0.9937 1
O7 O 0.3642 0.8484 0.4908 1
F1 F 0.3712 0.1749 0.2516 1
```

---

Run b
The following is a DFT calculation (GGA-PBEsol) of a relaxed Mn4O7F crystal.

```
data_Mn4O7F
_chemical_formula_sum 'Mn8 O14 F2'
_symmetry_space_group_name_H-M 'P 1'
_symmetry_Int_Tables_number 1
_symmetry_space_group_name_Hall 'P 1'
_cell_length_a 5.3675
_cell_length_b 6.4758
_cell_length_c 6.5135
_cell_angle_alpha 96.01
_cell_angle_beta 90.97
_cell_angle_gamma 90.54
loop_
_atom_site_label
_atom_site_type_symbol
_atom_site_fract_x
_atom_site_fract_y
_atom_site_fract_z
_atom_site_occupancy
Mn1 Mn 0.0000 0.0000 0.0000 1
Mn2 Mn 0.0010 0.5111 0.4997 1
Mn3 Mn 0.2940 0.2653 0.7491 1
Mn4 Mn 0.2970 0.7607 0.2505 1
Mn5 Mn 0.4985 0.7678 0.7440 1
Mn6 Mn 0.5032 0.2634 0.2345 1
Mn7 Mn 0.7741 0.5293 0.0029 1
Mn8 Mn 0.8138 0.0016 0.4925 1
O1 O 0.0315 0.7289 0.0450 1
O2 O 0.0318 0.2305 0.5502 1
O3 O 0.0385 0.7913 0.4489 1
O4 O 0.2592 0.5480 0.7020 1
O5 O 0.2593 0.9847 0.8020 1
O6 O 0.2618 0.0449 0.2011 1
O7 O 0.2616 0.4799 0.2960 1
O8 O 0.5290 0.7218 0.0292 1
O9 O 0.5304 0.3144 0.9664 1
O10 O 0.5323 0.8160 0.4667 1
O11 O 0.7554 0.5634 0.7187 1
O12 O 0.7572 0.4687 0.2797 1
O13 O 0.7642 0.9681 0.7781 1
O14 O 0.7659 0.0601 0.2167 1
F1 F 0.0138 0.3018 0.9633 1
F2 F 0.5405 0.2174 0.5241 1
```

---

Going by the computed energies, the most stable comes first: run a, run b.

---

Run a
The following is a DFT calculation (GGA-PBEsol) of a relaxed Mn3OF5 crystal.

```
data_Mn3OF5
_chemical_formula_sum 'Mn12 O4 F20'
_symmetry_space_group_name_H-M 'C 1 m 1'
_symmetry_Int_Tables_number 8
_symmetry_space_group_name_Hall 'C -2y'
_cell_length_a 9.2082
_cell_length_b 6.9201
_cell_length_c 7.3203
_cell_angle_alpha 90.00
_cell_angle_beta 110.25
_cell_angle_gamma 90.00
loop_
_atom_site_label
_atom_site_type_symbol
_atom_site_fract_x
_atom_site_fract_y
_atom_site_fract_z
_atom_site_occupancy
Mn1 Mn 0.0000 0.0000 0.0000 1
Mn2 Mn 0.0028 0.0000 0.5215 1
Mn3 Mn 0.1448 0.5000 0.1781 1
Mn4 Mn 0.1590 0.5000 0.6784 1
Mn5 Mn 0.3169 0.0000 0.8562 1
Mn6 Mn 0.3334 0.0000 0.3299 1
O1 O 0.1048 0.0000 0.8098 1
O2 O 0.4169 0.0000 0.1265 1
F1 F 0.0383 0.5000 0.8643 1
F2 F 0.1585 0.1976 0.1857 1
F3 F 0.2470 0.0000 0.5544 1
F4 F 0.2663 0.5000 0.4751 1
F5 F 0.3291 0.3083 0.8396 1
F6 F 0.3906 0.5000 0.2084 1
F7 F 0.4972 0.1988 0.4976 1
```

---

Run b
The following is a DFT calculation (GGA-PBEsol) of a relaxed Mn3OF5 crystal.

```
data_Mn3OF5
_chemical_formula_sum 'Mn12 O4 F20'
_symmetry_space_group_name_H-M 'C 1 2/m 1'
_symmetry_Int_Tables_number 12
_symmetry_space_group_name_Hall '-C 2y'
_cell_length_a 9.2031
_cell_length_b 6.9882
_cell_length_c 7.3322
_cell_angle_alpha 90.00
_cell_angle_beta 110.75
_cell_angle_gamma 90.00
loop_
_atom_site_label
_atom_site_type_symbol
_atom_site_fract_x
_atom_site_fract_y
_atom_site_fract_z
_atom_site_occupancy
Mn1 Mn 0.0000 0.0000 0.0000 1
Mn2 Mn 0.0000 0.0000 0.5000 1
Mn3 Mn 0.1482 0.5000 0.1557 1
Mn4 Mn 0.1590 0.5000 0.6789 1
O1 O 0.0652 0.5000 0.8779 1
F1 F 0.0000 0.2970 0.5000 1
F2 F 0.1248 0.0000 0.8076 1
F3 F 0.1631 0.1904 0.1805 1
F4 F 0.2496 0.0000 0.5492 1
```

---

Going by the computed energies, the most stable comes first: run b, run a.

---

Run a
The following is a DFT calculation (GGA-PBEsol) of a relaxed Mn3OF5 crystal.

```
data_Mn3OF5
_chemical_formula_sum 'Mn6 O2 F10'
_symmetry_space_group_name_H-M 'P 1'
_symmetry_Int_Tables_number 1
_symmetry_space_group_name_Hall 'P 1'
_cell_length_a 5.7514
_cell_length_b 5.7574
_cell_length_c 7.4096
_cell_angle_alpha 73.67
_cell_angle_beta 73.21
_cell_angle_gamma 71.12
loop_
_atom_site_label
_atom_site_type_symbol
_atom_site_fract_x
_atom_site_fract_y
_atom_site_fract_z
_atom_site_occupancy
Mn1 Mn 0.0000 0.0000 0.0000 1
Mn2 Mn 0.0122 0.0305 0.5001 1
Mn3 Mn 0.3202 0.3381 0.1808 1
Mn4 Mn 0.3635 0.3595 0.6745 1
Mn5 Mn 0.6803 0.6565 0.8246 1
Mn6 Mn 0.7029 0.6419 0.3526 1
O1 O 0.5972 0.5600 0.6247 1
O2 O 0.9888 0.3656 0.3388 1
F1 F 0.0538 0.6696 0.6730 1
F2 F 0.1241 0.1363 0.7009 1
F3 F 0.2291 0.2419 0.9747 1
F4 F 0.3125 0.7006 0.9949 1
F5 F 0.4022 0.9472 0.3376 1
F6 F 0.4429 0.4247 0.3718 1
F7 F 0.6498 0.0329 0.6872 1
F8 F 0.6802 0.2967 0.0104 1
F9 F 0.7747 0.7428 0.0527 1
F10 F 0.9205 0.9048 0.3023 1
```

---

Run b
The following is a DFT calculation (GGA-PBEsol) of a relaxed Mn3OF5 crystal.

```
data_Mn3OF5
_chemical_formula_sum 'Mn6 O2 F10'
_symmetry_space_group_name_H-M 'P -1'
_symmetry_Int_Tables_number 2
_symmetry_space_group_name_Hall '-P 1'
_cell_length_a 4.7717
_cell_length_b 5.7641
_cell_length_c 7.9354
_cell_angle_alpha 86.97
_cell_angle_beta 88.27
_cell_angle_gamma 88.44
loop_
_atom_site_label
_atom_site_type_symbol
_atom_site_fract_x
_atom_site_fract_y
_atom_site_fract_z
_atom_site_occupancy
Mn1 Mn 0.0000 0.0000 0.0000 1
Mn2 Mn 0.0228 0.3097 0.6638 1
Mn3 Mn 0.4767 0.8463 0.6790 1
Mn4 Mn 0.5000 0.5000 0.0000 1
O1 O 0.1849 0.0333 0.7828 1
F1 F 0.2009 0.7017 0.0989 1
F2 F 0.2026 0.3779 0.4208 1
F3 F 0.2973 0.2010 0.0988 1
F4 F 0.3012 0.5326 0.7649 1
F5 F 0.3024 0.8718 0.4374 1
```

---

Going by the computed energies, the most stable comes first: run a, run b.

---

Run a
The following is a DFT calculation (GGA-PBEsol) of a relaxed Mn6O5F7 crystal.

```
data_Mn6O5F7
_chemical_formula_sum 'Mn12 O10 F14'
_symmetry_space_group_name_H-M 'C 1 2 1'
_symmetry_Int_Tables_number 5
_symmetry_space_group_name_Hall 'C 2y'
_cell_length_a 9.2336
_cell_length_b 6.2389
_cell_length_c 7.8546
_cell_angle_alpha 90.00
_cell_angle_beta 116.27
_cell_angle_gamma 90.00
loop_
_atom_site_label
_atom_site_type_symbol
_atom_site_fract_x
_atom_site_fract_y
_atom_site_fract_z
_atom_site_occupancy
Mn1 Mn 0.0000 0.0000 0.0000 1
Mn2 Mn 0.0000 0.0335 0.5000 1
Mn3 Mn 0.1642 0.5333 0.6661 1
Mn4 Mn 0.1766 0.5337 0.1766 1
O1 O 0.0000 0.7068 0.0000 1
O2 O 0.1633 0.2310 0.6630 1
O3 O 0.1628 0.8357 0.6637 1
F1 F 0.0000 0.3168 0.0000 1
F2 F 0.0563 0.5291 0.3615 1
F3 F 0.1118 0.0320 0.2956 1
F4 F 0.2243 0.0199 0.0293 1
```

---

Run b
The following is a DFT calculation (GGA-PBEsol) of a relaxed Mn6O5F7 crystal.

```
data_Mn6O5F7
_chemical_formula_sum 'Mn12 O10 F14'
_symmetry_space_group_name_H-M 'C 1 m 1'
_symmetry_Int_Tables_number 8
_symmetry_space_group_name_Hall 'C -2y'
_cell_length_a 8.9920
_cell_length_b 6.6589
_cell_length_c 7.1702
_cell_angle_alpha 90.00
_cell_angle_beta 111.39
_cell_angle_gamma 90.00
loop_
_atom_site_label
_atom_site_type_symbol
_atom_site_fract_x
_atom_site_fract_y
_atom_site_fract_z
_atom_site_occupancy
Mn1 Mn 0.0000 0.0000 0.0000 1
Mn2 Mn 0.0087 0.0000 0.4950 1
Mn3 Mn 0.1498 0.5000 0.6507 1
Mn4 Mn 0.1788 0.5000 0.1656 1
Mn5 Mn 0.3179 0.0000 0.8511 1
Mn6 Mn 0.3648 0.0000 0.3341 1
O1 O 0.0063 0.3088 0.4929 1
O2 O 0.0951 0.0000 0.7923 1
O3 O 0.4043 0.5000 0.2010 1
O4 O 0.4473 0.0000 0.1323 1
F1 F 0.0500 0.5000 0.8645 1
F2 F 0.1871 0.1872 0.1760 1
F3 F 0.2503 0.0000 0.5357 1
F4 F 0.2751 0.5000 0.4666 1
F5 F 0.3142 0.3126 0.8189 1
```

---

Going by the computed energies, the most stable comes first: run a, run b.

---

Run a
The following is a DFT calculation (GGA-PBEsol) of a relaxed MnTe2F crystal.

```
data_MnTe2F
_chemical_formula_sum 'Mn3 Te6 F3'
_symmetry_space_group_name_H-M 'R -3 m'
_symmetry_Int_Tables_number 166
_symmetry_space_group_name_Hall '-R 3 2"'
_cell_length_a 3.8896
_cell_length_b 3.8896
_cell_length_c 21.9785
_cell_angle_alpha 90.00
_cell_angle_beta 90.00
_cell_angle_gamma 120.00
loop_
_atom_site_label
_atom_site_type_symbol
_atom_site_fract_x
_atom_site_fract_y
_atom_site_fract_z
_atom_site_occupancy
Mn1 Mn 0.0000 0.0000 0.0000 1
Te1 Te 0.0000 0.0000 0.3956 1
F1 F 0.0000 0.0000 0.5000 1
```

---

Run b
The following is a DFT calculation (GGA-PBEsol) of a relaxed MnTe2F crystal.

```
data_MnTe2F
_chemical_formula_sum 'Mn4 Te8 F4'
_symmetry_space_group_name_H-M 'F m -3 m'
_symmetry_Int_Tables_number 225
_symmetry_space_group_name_Hall '-F 4 2 3'
_cell_length_a 6.5562
_cell_length_b 6.5562
_cell_length_c 6.5562
_cell_angle_alpha 90.00
_cell_angle_beta 90.00
_cell_angle_gamma 90.00
loop_
_atom_site_label
_atom_site_type_symbol
_atom_site_fract_x
_atom_site_fract_y
_atom_site_fract_z
_atom_site_occupancy
Mn1 Mn 0.0000 0.0000 0.0000 1
Te1 Te 0.2500 0.2500 0.2500 1
F1 F 0.0000 0.0000 0.5000 1
```

---

Going by the computed energies, the most stable comes first: run a, run b.